[1]
The following is a PBE-GGA calculation of a geometry-optimized Ho2AlTl3Se6 structure, from Alexandria.

Summary:
The uncorrected formation energy is -1.112 eV per atom. Its total moment is 0.00 μB per atom. The space-group type is C2/m.

```
Ho2AlTl3Se6
1.0
3.531 -6.092 0.000
3.531 6.092 0.000
-2.350 0.000 7.761
Ho Al Tl Se
2 1 3 6
Direct
0.166 0.834 0.000
0.834 0.166 0.000
0.500 0.500 0.000
0.000 0.000 0.500
0.326 0.674 0.500
0.674 0.326 0.500
0.129 0.436 0.809
0.256 0.256 0.201
0.436 0.129 0.809
0.564 0.871 0.191
0.744 0.744 0.799
0.871 0.564 0.191
```

=====

[2]
The following is a PBE-GGA calculation of a geometry-optimized MgScPCl2 structure, from Alexandria.

Summary:
The uncorrected formation energy is -0.723 eV per atom. Its total moment is 0.00 μB per atom. For the energy above the most stable polymorph in this dataset, the calculation gives 195 meV/atom. The space-group type is P4/mmm.

```
MgScPCl2
1.0
4.497 0.000 0.000
0.000 4.497 0.000
0.000 0.000 5.668
Mg Sc P Cl
1 1 1 2
Direct
0.000 0.000 0.000
0.500 0.500 0.500
0.000 0.000 0.500
0.000 0.500 0.000
0.500 0.000 0.000
```

=====

[3]
The following is a PBE-GGA calculation of a geometry-optimized Fe2Se structure, from Alexandria.

Summary:
The uncorrected formation energy is -0.017 eV per atom. Its total moment is 1.65 μB per atom. For the energy above the most stable polymorph in this dataset, the calculation gives 124 meV/atom. The space-group type is C2/m.

```
Fe2Se
1.0
3.865 -1.741 0.000
3.865 1.741 0.000
-1.453 0.000 7.394
Fe Se
4 2
Direct
0.013 0.013 0.320
0.339 0.339 0.439
0.661 0.661 0.561
0.987 0.987 0.680
0.306 0.306 0.793
0.694 0.694 0.207
```

=====

[4]
The following is a PBE-GGA calculation of a geometry-optimized PmNdPd structure, from Alexandria.

Summary:
Its total moment is 0.00 μB per atom. For the energy above the most stable polymorph in this dataset, the calculation gives 104 meV/atom. The space-group type is F-43m.

```
PmNdPd
1.0
0.000 3.557 3.557
3.557 0.000 3.557
3.557 3.557 0.000
Pm Nd Pd
1 1 1
Direct
0.000 0.000 0.000
0.500 0.500 0.500
0.250 0.250 0.250
```